PBE LiVAgS2, relaxed; uncorrected formation energy = 2.5 eV per formula unit; calculated total energy = -3.937 eV per atom; V = 17.2 Å³/atom; theoretical density = 4.4 g cm⁻³; DOS at the Fermi energy = 3.1 states/eV per cell
1.0
4.4941 0.0000 0.0000
0.0000 4.4941 0.0000
0.0000 0.0000 4.2556
Li V Ag S
1 1 1 2
direct
0.0000 0.0000 0.0000
0.0000 0.0000 0.5000
0.5000 0.5000 0.5000
0.0000 0.5000 0.0000
0.5000 0.0000 0.0000

---

PBE CeNd2Y, relaxed; calculated total energy = -5.404 eV per atom; V = 33.3 Å³/atom; theoretical density = 6.5 g cm⁻³; DOS at the Fermi energy = 8.5 states/eV per cell
1.0
5.1168 0.0000 0.0000
0.0000 5.1168 0.0000
0.0000 0.0000 5.0847
Ce Nd Y
1 2 1
direct
0.0000 0.0000 0.0000
0.0000 0.5000 0.5000
0.5000 0.0000 0.5000
0.5000 0.5000 0.0000

---

PBE UTaS, relaxed; uncorrected formation energy = -0.4 eV per formula unit; calculated total energy = -9.230 eV per atom; V = 19.2 Å³/atom; theoretical density = 13.0 g cm⁻³; DOS at the Fermi energy = 5.5 states/eV per cell
1.0
3.0586 0.0000 0.0000
0.0000 6.7118 0.0000
-1.3304 0.0000 2.8073
U Ta S
1 1 1
direct
0.0000 0.0000 0.0000
0.5000 0.6259 0.5000
0.5000 0.3440 0.0000

---

> What is the theoretical density in the third record?

13.0 g cm⁻³

---

> Look up the calculated total energy of the second one.

-5.404 eV per atom

---

> Number 1 is which compound?

LiVAgS2

---

> Which formula does entry 3 have?

UTaS